Below is Na3SnHg2Bi3 after structural relaxation, with properties calculated at the GGA-PBE level.

Cell lengths 9.2933, 9.2933, 3.4504 Å; angles 90.00, 90.00, 120.00 degrees
With the nearest neighbours (Å) after each atom.
Atoms (fractional coordinates):
Na 0.0000 0.6305 0.0000  4 Hg 3.41, 1 Sn 3.43, 2 Na 3.45, 6 Bi 3.46-3.62
Na 0.3695 0.3695 0.0000  4 Hg 3.41, 1 Sn 3.43, 2 Na 3.45, 6 Bi 3.46-3.62
Na 0.6305 0.0000 0.0000  4 Hg 3.41, 1 Sn 3.43, 2 Na 3.45, 6 Bi 3.46-3.62
Sn 0.0000 0.0000 0.0000  6 Bi 3.34, 3 Na 3.43, 2 Sn 3.45
Hg 0.3333 0.6667 0.5000  3 Bi 3.22, 6 Na 3.41, 2 Hg 3.45
Hg 0.6667 0.3333 0.5000  3 Bi 3.22, 6 Na 3.41, 2 Hg 3.45
Bi 0.0000 0.3083 0.5000  2 Hg 3.22, 2 Sn 3.34, 2 Bi 3.45, 2 Na 3.46
Bi 0.3083 0.0000 0.5000  2 Hg 3.22, 2 Sn 3.34, 2 Bi 3.45, 2 Na 3.46
Bi 0.6917 0.6917 0.5000  2 Hg 3.22, 2 Sn 3.34, 2 Bi 3.45, 2 Na 3.46

raw total energy = -2.431 eV/atom
D(E_F) = 3.37 states/eV per cell
total magnetization = 0.00 μB/atom